(1)
Computed, not measured: an optimized crystal structure of MnSnOF2 at the PBE with a Hubbard U level of DFT.

abc: 4.159 4.159 4.085
angles: 90.00 90.00 90.00
Space group P4/mmm (No. 123)
Symmetry-distinct sites (fractional):
1 Mn 0.000 0.000 0.000 x1
2 Sn 0.500 0.500 0.500 x1
3 O 0.000 0.000 0.500 x1
4 F 0.000 0.500 0.000 x2

Properties
Energy above the lowest structure with this stoichiometry = 0.000 eV per atom
N(E_F) = 0.605 states/eV/f.u.



(2)
Computed, not measured: an optimized crystal structure of MnSnO2F at the PBE with a Hubbard U level of DFT.

abc: 3.937 3.937 4.143
angles: 90.00 90.00 90.00
Space group P4/mmm (No. 123)
Symmetry-distinct sites (fractional):
1 Mn 0.000 0.000 0.000 x1
2 Sn 0.500 0.500 0.500 x1
3 O 0.000 0.500 0.000 x2
4 F 0.000 0.000 0.500 x1

Properties
Calculated total energy = -6.1418 eV per atom
N(E_F) = 0.642 states/eV/f.u.



(3)
Computed, not measured: an optimized crystal structure of MnSnO2F at the PBE with a Hubbard U level of DFT.

abc: 4.140 4.140 4.309
angles: 90.00 90.00 90.00
Space group P4/mmm (No. 123)
Symmetry-distinct sites (fractional):
1 Mn 0.000 0.000 0.000 x1
2 Sn 0.500 0.500 0.500 x1
3 O 0.000 0.500 0.500 x2
4 F 0.500 0.500 0.000 x1

Properties
Calculated total energy = -5.8270 eV per atom
N(E_F) = 1.462 states/eV/f.u.



(4)
Computed, not measured: an optimized crystal structure of SrMnOF5 at the PBE with a Hubbard U level of DFT.

abc: 5.433 7.914 5.823
angles: 90.00 109.14 90.00
Space group P2_1/m (No. 11)
Symmetry-distinct sites (fractional):
1 Sr 0.060 0.250 0.384 x2
2 Mn 0.500 0.000 0.000 x2
3 O 0.395 0.750 0.466 x2
4 F 0.194 0.042 0.726 x4
5 F 0.319 0.060 0.213 x4
6 F 0.345 0.750 0.980 x2

Properties
Calculated total energy = -5.3153 eV per atom
N(E_F) = 0.221 states/eV/f.u.



(5)
Computed, not measured: an optimized crystal structure of SrMnOF2 at the PBE with a Hubbard U level of DFT.

abc: 4.184 4.184 4.194
angles: 90.00 90.00 90.00
Space group P4/mmm (No. 123)
Symmetry-distinct sites (fractional):
1 Sr 0.000 0.000 0.000 x1
2 Mn 0.500 0.500 0.500 x1
3 O 0.500 0.500 0.000 x1
4 F 0.000 0.500 0.500 x2

Properties
Energy above the lowest structure with this stoichiometry = 0.000 eV per atom
N(E_F) = 0.000 states/eV/f.u.



(6)
Computed, not measured: an optimized crystal structure of Sr2MnO2F2 at the PBE with a Hubbard U level of DFT.

abc: 4.148 4.148 12.990
angles: 90.00 90.00 90.00
Space group I4/mmm (No. 139)
Symmetry-distinct sites (fractional):
1 Sr 0.000 0.000 0.124 x4
2 Mn 0.000 0.000 0.500 x2
3 O 0.000 0.500 0.000 x4
4 F 0.000 0.000 0.312 x4

Properties
Calculated total energy = -6.3197 eV per atom
N(E_F) = 0.141 states/eV/f.u.



(7)
Computed, not measured: an optimized crystal structure of SrMnOF2 at the PBE with a Hubbard U level of DFT.

abc: 4.522 4.522 4.871
angles: 90.00 90.00 90.00
Space group P4/mmm (No. 123)
Symmetry-distinct sites (fractional):
1 Sr 0.000 0.000 0.000 x1
2 Mn 0.500 0.500 0.500 x1
3 O 0.000 0.000 0.500 x1
4 F 0.000 0.500 0.000 x2

Properties
Energy above the lowest structure with this stoichiometry = 0.831 eV per atom
N(E_F) = 1.147 states/eV/f.u.



(8)
Computed, not measured: an optimized crystal structure of TaMnO2F at the PBE with a Hubbard U level of DFT.

abc: 4.009 4.009 4.323
angles: 90.00 90.00 90.00
Space group P4/mmm (No. 123)
Symmetry-distinct sites (fractional):
1 Ta 0.000 0.000 0.000 x1
2 Mn 0.500 0.500 0.500 x1
3 O 0.000 0.500 0.000 x2
4 F 0.000 0.000 0.500 x1

Properties
Calculated total energy = -7.9575 eV per atom
N(E_F) = 2.678 states/eV/f.u.



(9)
Computed, not measured: an optimized crystal structure of TaMnO2F at the PBE with a Hubbard U level of DFT.

abc: 4.008 4.008 3.823
angles: 90.00 90.00 90.00
Space group P4/mmm (No. 123)
Symmetry-distinct sites (fractional):
1 Ta 0.000 0.000 0.000 x1
2 Mn 0.500 0.500 0.500 x1
3 O 0.000 0.500 0.500 x2
4 F 0.500 0.500 0.000 x1

Properties
Calculated total energy = -6.9646 eV per atom
N(E_F) = 4.237 states/eV/f.u.



(10)
Computed, not measured: an optimized crystal structure of MnTeOF2 at the PBE with a Hubbard U level of DFT.

abc: 4.772 4.772 4.122
angles: 90.00 90.00 90.00
Space group P4/mmm (No. 123)
Symmetry-distinct sites (fractional):
1 Mn 0.000 0.000 0.000 x1
2 Te 0.500 0.500 0.500 x1
3 O 0.500 0.500 0.000 x1
4 F 0.000 0.500 0.500 x2

Properties
Energy above the lowest structure with this stoichiometry = 0.380 eV per atom
N(E_F) = 2.016 states/eV/f.u.



(11)
Computed, not measured: an optimized crystal structure of MnTeOF2 at the PBE with a Hubbard U level of DFT.

abc: 4.092 4.092 4.287
angles: 90.00 90.00 90.00
Space group P4/mmm (No. 123)
Symmetry-distinct sites (fractional):
1 Mn 0.000 0.000 0.000 x1
2 Te 0.500 0.500 0.500 x1
3 O 0.000 0.000 0.500 x1
4 F 0.000 0.500 0.000 x2

Properties
Energy above the lowest structure with this stoichiometry = 0.000 eV per atom
N(E_F) = 3.260 states/eV/f.u.



(12)
Computed, not measured: an optimized crystal structure of TiMnO2F at the PBE with a Hubbard U level of DFT.

abc: 3.818 3.818 3.747
angles: 90.00 90.00 90.00
Space group P4/mmm (No. 123)
Symmetry-distinct sites (fractional):
1 Ti 0.000 0.000 0.000 x1
2 Mn 0.500 0.500 0.500 x1
3 O 0.000 0.500 0.500 x2
4 F 0.500 0.500 0.000 x1

Properties
Calculated total energy = -6.4523 eV per atom
N(E_F) = 5.869 states/eV/f.u.



Question: The lowest N(E_F) belongs to which entry?
Answer: number 5



Question: The lowest N(E_F) belongs to which entry?
Answer: number 5



Question: Among the records above, which one has the lowest N(E_F)?
Answer: number 5



Repeat the seventh record exactly.
Computed, not measured: an optimized crystal structure of SrMnOF2 at the PBE with a Hubbard U level of DFT.

abc: 4.522 4.522 4.871
angles: 90.00 90.00 90.00
Space group P4/mmm (No. 123)
Symmetry-distinct sites (fractional):
1 Sr 0.000 0.000 0.000 x1
2 Mn 0.500 0.500 0.500 x1
3 O 0.000 0.000 0.500 x1
4 F 0.000 0.500 0.000 x2

Properties
Energy above the lowest structure with this stoichiometry = 0.831 eV per atom
N(E_F) = 1.147 states/eV/f.u.